{
  "formula": "Tl3CuH2Pd9",
  "functional": "PBE-GGA",
  "state": "optimized geometry",
  "dft_energy_ev_per_cell": -66.4,
  "lattice": [[5.811, 0.000, 0.000], [-2.905, 5.032, 0.000], [0.000, 0.000, 8.109]],
  "species": ["Tl", "Tl", "Tl", "Cu", "H", "H", "Pd", "Pd", "Pd", "Pd", "Pd", "Pd", "Pd", "Pd", "Pd"],
  "fractional_positions": [[0.000, 0.000, 0.000], [0.333, 0.667, 0.633], [0.667, 0.333, 0.367], [0.000, 0.000, 0.500], [0.333, 0.667, 0.128], [0.667, 0.333, 0.872], [0.000, 0.500, 0.000], [0.172, 0.343, 0.285], [0.172, 0.828, 0.285], [0.343, 0.172, 0.715], [0.500, 0.000, 0.000], [0.500, 0.500, 0.000], [0.657, 0.828, 0.285], [0.828, 0.172, 0.715], [0.828, 0.657, 0.715]]
}